[1]
VASP calculation (GGA-PBE) on an optimized crystal structure of Cr2NiTe4.

Cell and atoms, written as POSCAR:
```
Cr2NiTe4
1.0
-2.6073 2.6073 6.5660
2.6073 -2.6073 6.5660
2.6073 2.6073 -6.5660
Cr Ni Te
2 1 4
Cartesian
0.0000 0.0000 1.4200 Cr
0.0000 0.0000 11.7119 Cr
0.0000 0.0000 6.5660 Ni
2.6073 0.0000 0.0000 Te
0.0000 0.0000 3.9918 Te
0.0000 2.6073 0.0000 Te
0.0000 0.0000 9.1401 Te
```

Calculated values
raw total energy = -0.37154 Ry per atom
crystal system = tetragonal
spin magnetization = 0.969 μB per atom
space group = No. 139
polymorph energy (0 for the lowest one) = 0.506 eV/atom

---

[2]
VASP calculation (GGA-PBE) on an optimized crystal structure of CrNiTe2.

Cell and atoms, written as POSCAR:
```
CrNiTe2
1.0
1.9288 1.1136 7.9398
-1.9288 1.1136 7.9398
0.0000 -2.2272 7.9398
Cr Ni Te
1 1 2
Cartesian
0.0000 0.0000 0.0000 Cr
0.0000 0.0000 11.9097 Ni
0.0000 0.0000 9.4845 Te
0.0000 0.0000 14.3348 Te
```

Calculated values
raw total energy = -0.38530 Ry per atom
crystal system = trigonal
spin magnetization = 0.535 μB per atom
space group = No. 166
polymorph energy (0 for the lowest one) = 0.357 eV/atom

---

| no. | raw formation energy (eV/atom) |
| --- | --- |
| 1 | 0.316 |
| 2 | 0.180 |